{
  "formula": "BeCrFe14",
  "functional": "GGA-PBE",
  "state": "optimized geometry",
  "lattice_angstrom": [[-2.639, 1.073, -3.980], [-2.901, -2.193, 3.276], [-1.824, 7.066, 3.114]],
  "species": ["Be", "Cr", "Fe", "Fe", "Fe", "Fe", "Fe", "Fe", "Fe", "Fe", "Fe", "Fe", "Fe", "Fe", "Fe", "Fe"],
  "fractional_positions": [[0.125, 0.875, 0.500], [0.625, 0.375, 0.500], [0.125, 0.875, 0.000], [0.625, 0.375, 0.000], [0.125, 0.375, 0.500], [0.125, 0.375, 0.000], [0.625, 0.875, 0.500], [0.625, 0.875, 0.000], [0.373, 0.123, 0.745], [0.373, 0.123, 0.255], [0.877, 0.627, 0.745], [0.877, 0.627, 0.255], [0.373, 0.627, 0.747], [0.373, 0.627, 0.253], [0.877, 0.123, 0.747], [0.877, 0.123, 0.253]],
  "formation_energy_ev_per_fu": 0.04,
  "n_ef_per_ev_atom": 0.78,
  "m_tot_mub_per_fu": 29.45,
  "vol_a3_per_fu": 180
}

=====

{
  "formula": "Be3CrFe",
  "functional": "GGA-PBE",
  "state": "optimized geometry",
  "lattice_angstrom": [[-3.595, -0.044, -1.681], [1.269, -2.674, -2.645], [-1.103, -2.933, 2.436]],
  "species": ["Cr", "Fe", "Be", "Be", "Be"],
  "fractional_positions": [[0.000, 0.000, 0.000], [0.500, 0.500, 0.500], [0.000, 0.500, 0.000], [0.000, 0.000, 0.500], [0.500, 0.000, 0.000]],
  "polymorph_energy_ev_per_atom": 0.4399,
  "formation_energy_ev_per_fu": 6.57,
  "n_ef_per_ev_atom": 0.77,
  "m_tot_mub_per_fu": 3.40,
  "vol_a3_per_fu": 63
}

=====

{
  "formula": "Be2CrFe2",
  "functional": "GGA-PBE",
  "state": "optimized geometry",
  "lattice_angstrom": [[6.037, 0.000, 0.000], [0.000, 6.037, 0.000], [0.000, 0.000, 2.679]],
  "species": ["Cr", "Cr", "Fe", "Fe", "Fe", "Fe", "Be", "Be", "Be", "Be"],
  "fractional_positions": [[0.000, 0.000, 0.000], [0.500, 0.500, 0.000], [0.347, 0.847, 0.000], [0.847, 0.653, 0.000], [0.653, 0.153, 0.000], [0.153, 0.347, 0.000], [0.142, 0.642, 0.500], [0.642, 0.858, 0.500], [0.858, 0.358, 0.500], [0.358, 0.142, 0.500]],
  "polymorph_energy_ev_per_atom": 0.2094,
  "formation_energy_ev_per_fu": 0.88,
  "n_ef_per_ev_atom": 1.08,
  "m_tot_mub_per_fu": 0.01,
  "vol_a3_per_fu": 49
}

=====

{
  "formula": "BeCrFe6",
  "functional": "GGA-PBE",
  "state": "optimized geometry",
  "lattice_angstrom": [[-5.381, -2.787, 0.616], [3.883, -1.883, 4.299], [-3.111, 7.337, 6.024]],
  "species": ["Be", "Be", "Be", "Be", "Cr", "Cr", "Cr", "Cr", "Fe", "Fe", "Fe", "Fe", "Fe", "Fe", "Fe", "Fe", "Fe", "Fe", "Fe", "Fe", "Fe", "Fe", "Fe", "Fe", "Fe", "Fe", "Fe", "Fe", "Fe", "Fe", "Fe", "Fe"],
  "fractional_positions": [[0.255, 0.745, 0.250], [0.745, 0.255, 0.250], [0.000, 0.000, 0.500], [0.000, 0.000, 0.000], [0.256, 0.744, 0.750], [0.744, 0.256, 0.750], [0.500, 0.500, 0.501], [0.500, 0.500, 0.999], [0.250, 0.750, 0.496], [0.879, 0.632, 0.623], [0.121, 0.368, 0.623], [0.750, 0.250, 0.496], [0.368, 0.121, 0.623], [0.632, 0.879, 0.623], [0.500, 0.500, 0.250], [0.115, 0.369, 0.373], [0.369, 0.115, 0.373], [0.250, 0.750, 0.004], [0.885, 0.631, 0.127], [0.115, 0.369, 0.127], [0.750, 0.250, 0.004], [0.369, 0.115, 0.127], [0.631, 0.885, 0.127], [0.500, 0.500, 0.750], [0.121, 0.368, 0.877], [0.368, 0.121, 0.877], [0.000, 0.000, 0.250], [0.631, 0.885, 0.373], [0.885, 0.631, 0.373], [0.000, 0.000, 0.750], [0.632, 0.879, 0.877], [0.879, 0.632, 0.877]],
  "formation_energy_ev_per_fu": 0.08,
  "n_ef_per_ev_atom": 1.12,
  "m_tot_mub_per_fu": 9.12,
  "vol_a3_per_fu": 87
}

=====

{
  "formula": "BeCr4Fe",
  "functional": "GGA-PBE",
  "state": "optimized geometry",
  "lattice_angstrom": [[0.000, 3.271, 3.271], [3.271, 0.000, 3.271], [3.271, 3.271, 0.000]],
  "species": ["Be", "Cr", "Cr", "Cr", "Cr", "Fe"],
  "fractional_positions": [[0.000, 0.000, 0.000], [0.878, 0.374, 0.374], [0.374, 0.374, 0.878], [0.374, 0.878, 0.374], [0.374, 0.374, 0.374], [0.750, 0.750, 0.750]],
  "formation_energy_ev_per_fu": 1.98,
  "n_ef_per_ev_atom": 0.74,
  "m_tot_mub_per_fu": 1.53,
  "vol_a3_per_fu": 70
}

=====

{
  "formula": "BeCrFe",
  "functional": "GGA-PBE",
  "state": "optimized geometry",
  "lattice_angstrom": [[5.812, 0.010, -0.007], [5.207, 2.323, 0.156], [0.604, -0.538, 2.256]],
  "species": ["Cr", "Fe", "Be"],
  "fractional_positions": [[0.339, 0.339, 0.661], [0.658, 0.658, 0.342], [0.003, 0.003, 0.997]],
  "polymorph_energy_ev_per_atom": 0.1035,
  "formation_energy_ev_per_fu": 0.10,
  "n_ef_per_ev_atom": 0.79,
  "m_tot_mub_per_fu": 1.79,
  "vol_a3_per_fu": 31
}

=====

{
  "formula": "BeCrFe",
  "functional": "GGA-PBE",
  "state": "optimized geometry",
  "lattice_angstrom": [[2.744, 0.000, -0.480], [-0.039, 3.760, -0.225], [-0.390, 0.348, 5.854]],
  "species": ["Be", "Be", "Cr", "Cr", "Fe", "Fe"],
  "fractional_positions": [[0.086, 0.250, 0.173], [0.914, 0.750, 0.827], [0.243, 0.750, 0.486], [0.757, 0.250, 0.514], [0.424, 0.250, 0.849], [0.576, 0.750, 0.151]],
  "polymorph_energy_ev_per_atom": 0.0125,
  "formation_energy_ev_per_fu": -0.18,
  "n_ef_per_ev_atom": 0.96,
  "m_tot_mub_per_fu": 1.09,
  "vol_a3_per_fu": 30
}

=====

{
  "formula": "BeCrFe",
  "functional": "GGA-PBE",
  "state": "optimized geometry",
  "lattice_angstrom": [[-4.050, -1.469, 0.914], [-2.989, -1.610, -2.805], [4.226, -0.242, 1.215]],
  "species": ["Cr", "Fe", "Be"],
  "fractional_positions": [[0.329, 0.329, 0.000], [0.666, 0.666, 0.000], [0.005, 0.005, 0.000]],
  "polymorph_energy_ev_per_atom": 0.0000,
  "formation_energy_ev_per_fu": -0.21,
  "n_ef_per_ev_atom": 0.70,
  "m_tot_mub_per_fu": 0.00,
  "vol_a3_per_fu": 30
}